(1)
# KTl2Ga2 PBE-GGA relaxed
data_KTl2Ga2
_chemical_formula_sum 'K2 Tl4 Ga4'
_space_group_name_H-M_alt 'I 4/m m m'
_space_group_IT_number 139
_space_group_name_Hall '-I 4 2'
_cell_length_a 4.995
_cell_length_b 4.995
_cell_length_c 11.597
_cell_angle_alpha 90.00
_cell_angle_beta 90.00
_cell_angle_gamma 90.00
loop_
_atom_site_label
_atom_site_type_symbol
_atom_site_fract_x
_atom_site_fract_y
_atom_site_fract_z
K1 K 0.000 0.000 0.000
Tl1 Tl 0.000 0.500 0.250
Ga1 Ga 0.000 0.000 0.390
# energy relative to the lowest polymorph listed for this composition	0.0	meV per atom
# ΔE_f	-0.072	eV per atom
# total magnetic moment	0.000	μB/atom

=====

(2)
# KTl2Ga PBE-GGA relaxed
data_KTl2Ga
_chemical_formula_sum 'K1 Tl2 Ga1'
_space_group_name_H-M_alt 'P 4/m m m'
_space_group_IT_number 123
_space_group_name_Hall '-P 4 2'
_cell_length_a 5.052
_cell_length_b 5.052
_cell_length_c 4.723
_cell_angle_alpha 90.00
_cell_angle_beta 90.00
_cell_angle_gamma 90.00
loop_
_atom_site_label
_atom_site_type_symbol
_atom_site_fract_x
_atom_site_fract_y
_atom_site_fract_z
K1 K 0.000 0.000 0.000
Tl1 Tl 0.000 0.500 0.500
Ga1 Ga 0.500 0.500 0.000
# energy relative to the lowest polymorph listed for this composition	130.9	meV per atom
# ΔE_f	0.072	eV per atom
# total magnetic moment	0.000	μB/atom

=====

(3)
# KTl2Ga2 PBE-GGA relaxed
data_KTl2Ga2
_chemical_formula_sum 'K2 Tl4 Ga4'
_space_group_name_H-M_alt 'P 4/m b m'
_space_group_IT_number 127
_space_group_name_Hall '-P 4 2ab'
_cell_length_a 8.889
_cell_length_b 8.889
_cell_length_c 3.544
_cell_angle_alpha 90.00
_cell_angle_beta 90.00
_cell_angle_gamma 90.00
loop_
_atom_site_label
_atom_site_type_symbol
_atom_site_fract_x
_atom_site_fract_y
_atom_site_fract_z
K1 K 0.000 0.000 0.000
Tl1 Tl 0.166 0.334 0.500
Ga1 Ga 0.122 0.622 0.000
# energy relative to the lowest polymorph listed for this composition	86.3	meV per atom
# ΔE_f	0.014	eV per atom
# total magnetic moment	0.000	μB/atom

=====

(4)
# K2Tl2Ga PBE-GGA relaxed
data_K2Tl2Ga
_chemical_formula_sum 'K4 Tl4 Ga2'
_space_group_name_H-M_alt 'P 4/m b m'
_space_group_IT_number 127
_space_group_name_Hall '-P 4 2ab'
_cell_length_a 10.589
_cell_length_b 10.589
_cell_length_c 3.343
_cell_angle_alpha 90.00
_cell_angle_beta 90.00
_cell_angle_gamma 90.00
loop_
_atom_site_label
_atom_site_type_symbol
_atom_site_fract_x
_atom_site_fract_y
_atom_site_fract_z
K1 K 0.191 0.309 0.000
Tl1 Tl 0.105 0.605 0.500
Ga1 Ga 0.000 0.000 0.000
# energy relative to the lowest polymorph listed for this composition	189.8	meV per atom
# ΔE_f	0.187	eV per atom
# total magnetic moment	0.000	μB/atom

=====

(5)
# K2TlGa PBE-GGA relaxed
data_K2TlGa
_chemical_formula_sum 'K8 Tl4 Ga4'
_space_group_name_H-M_alt 'I -4 2 d'
_space_group_IT_number 122
_space_group_name_Hall 'I -4 2bw'
_cell_length_a 9.746
_cell_length_b 9.746
_cell_length_c 6.464
_cell_angle_alpha 90.00
_cell_angle_beta 90.00
_cell_angle_gamma 90.00
loop_
_atom_site_label
_atom_site_type_symbol
_atom_site_fract_x
_atom_site_fract_y
_atom_site_fract_z
K1 K 0.227 0.750 0.125
Tl1 Tl 0.000 0.000 0.500
Ga1 Ga 0.000 0.000 0.000
# energy relative to the lowest polymorph listed for this composition	241.8	meV per atom
# ΔE_f	0.182	eV per atom
# total magnetic moment	0.000	μB/atom

=====

(6)
# K4Tl2Ga PBE-GGA relaxed
data_K4Tl2Ga
_chemical_formula_sum 'K8 Tl4 Ga2'
_space_group_name_H-M_alt 'I 4/m m m'
_space_group_IT_number 139
_space_group_name_Hall '-I 4 2'
_cell_length_a 6.628
_cell_length_b 6.628
_cell_length_c 17.162
_cell_angle_alpha 90.00
_cell_angle_beta 90.00
_cell_angle_gamma 90.00
loop_
_atom_site_label
_atom_site_type_symbol
_atom_site_fract_x
_atom_site_fract_y
_atom_site_fract_z
K1 K 0.000 0.000 0.200
K2 K 0.000 0.500 0.000
Tl1 Tl 0.000 0.000 0.410
Ga1 Ga 0.000 0.000 0.000
# ΔE_f	0.157	eV per atom
# total magnetic moment	0.000	μB/atom